The following is a PBE calculation of crystalline MgPW2 at its relaxed geometry, from Alexandria via LeMat-Bulk.

Computed properties:
Space-group type: F-43m (216)
Calculated formation energy, meV/atom: 410
Size of the total moment, μB per atom: 0.00

Lattice parameters (Å, degrees): 4.431 4.431 4.431 60.00 60.00 60.00
Fractional coordinates of all 4 atoms:
1 Mg 0.500 0.500 0.500
2 P 0.250 0.250 0.250
3 W 0.000 0.000 0.000
4 W 0.750 0.750 0.750

---

The following is a PBE calculation of crystalline Ba6Cu2PtI3 at its relaxed geometry, from Alexandria via LeMat-Bulk.

Computed properties:
Space-group type: C2/m (12)
Size of the total moment, μB per atom: 0.00
Formation energy (no corrections), eV per atom: -0.83

Lattice parameters (Å, degrees): 8.081 8.081 9.233 98.38 98.38 120.01
Fractional coordinates of all 12 atoms:
1 Ba 0.932 0.609 0.796
2 Ba 0.746 0.746 0.205
3 Ba 0.068 0.391 0.204
4 Ba 0.609 0.932 0.796
5 Ba 0.254 0.254 0.795
6 Ba 0.391 0.068 0.204
7 Cu 0.333 0.667 0.000
8 Cu 0.667 0.333 0.000
9 Pt 0.000 0.000 0.000
10 I 0.168 0.832 0.500
11 I 0.832 0.168 0.500
12 I 0.500 0.500 0.500

---

The following is a PBE calculation of crystalline Pr3Nd6Mg at its relaxed geometry, from Alexandria via LeMat-Bulk.

Computed properties:
Space-group type: P2_1/c (14)
Calculated formation energy, meV/atom: 152
Size of the total moment, μB per atom: 0.00

Lattice parameters (Å, degrees): 10.410 9.899 12.068 90.00 145.68 90.00
Fractional coordinates of all 20 atoms:
1 Pr 0.535 0.160 0.777
2 Pr 0.500 0.500 0.000
3 Pr 0.465 0.840 0.223
4 Pr 0.035 0.340 0.277
5 Pr 0.000 0.000 0.500
6 Pr 0.965 0.660 0.723
7 Nd 0.524 0.840 0.934
8 Nd 0.540 0.822 0.606
9 Nd 0.444 0.491 0.209
10 Nd 0.556 0.509 0.791
11 Nd 0.460 0.178 0.394
12 Nd 0.476 0.160 0.066
13 Nd 0.024 0.660 0.434
14 Nd 0.040 0.678 0.106
15 Nd 0.944 0.009 0.709
16 Nd 0.056 0.991 0.291
17 Nd 0.960 0.322 0.894
18 Nd 0.976 0.340 0.566
19 Mg 0.500 0.500 0.500
20 Mg 0.000 0.000 0.000

---

The following is a PBE calculation of crystalline CdNiP2 at its relaxed geometry, from Alexandria via LeMat-Bulk.

Computed properties:
Space-group type: P4/mmm (123)
Calculated formation energy, meV/atom: 433
Size of the total moment, μB per atom: 0.00

Lattice parameters (Å, degrees): 4.063 4.070 3.776 90.00 90.00 90.00
Fractional coordinates of all 4 atoms:
1 Cd 0.500 0.000 0.500
2 Ni 0.000 0.500 0.500
3 P 0.000 0.000 0.000
4 P 0.500 0.500 0.000

---

Number 1: E_tot -31.27 eV for the cell shown. Number 2: E_tot -40.42 eV for the cell shown. Number 3: E_tot -86.04 eV for the cell shown. Number 4: E_tot -15.79 eV for the cell shown.